VASP calculation (PBE) on crystalline PmGdFe4 at its relaxed geometry.

Cell lengths 5.197, 5.197, 5.197 Å; angles 60.00, 60.00, 60.00 degrees
Atoms (fractional coordinates):
Fe: 0.625 0.625 0.126
Fe: 0.625 0.625 0.625
Fe: 0.126 0.625 0.625
Fe: 0.625 0.126 0.625
Pm: 0.000 0.000 0.000
Gd: 0.250 0.250 0.250

Values from the calculation:
Its mass density is 8.8 Mg/m³. For the formation enthalpy at 0 K, the calculation gives 30 meV per atom.